[1]
The following is a DFT calculation (PBE-GGA) of a relaxed structure of TmNi2B4.

Lattice parameters (Å, degrees): 7.0936 7.0936 7.0936 154.71 153.09 37.26
Last column: nearest neighbours and their distance in Å.
Fractional coordinates of all 7 atoms:
Tm (0.0000, 0.0000, 0.0000)  12 B 2.61-2.64
Ni (0.1964, 0.6964, 0.5000)  3 B 2.06-2.09
Ni (0.8036, 0.3036, 0.5000)  3 B 2.06-2.09
B (0.3497, 0.8497, 0.5000)  2 B 1.69
B (0.3993, 0.3993, 0.0000)  2 B 1.69
B (0.6007, 0.6007, 0.0000)  2 B 1.69
B (0.6503, 0.1503, 0.5000)  2 B 1.69

Output
Total magnetic moment ... 0.00 Bohr magnetons per cell
Symmetry ... Immm (71)
Volume ... 69 Å³/cell
Energy of formation from the pure elements ... -342 meV per atom


[2]
The following is a DFT calculation (PBE-GGA) of a relaxed structure of RbLiPmBr5.

Lattice parameters (Å, degrees): 8.0554 8.0554 10.8461 103.71 103.71 107.22
Last column: nearest neighbours and their distance in Å.
Fractional coordinates of all 16 atoms:
Rb (0.1526, 0.8474, 0.7500)  5 Br 3.47-3.50
Rb (0.8474, 0.1526, 0.2500)  5 Br 3.47-3.50
Li (0.1914, 0.8086, 0.2500)  4 Br 2.56-2.60
Li (0.8086, 0.1914, 0.7500)  4 Br 2.56-2.60
Pm (0.5000, 0.5000, 0.0000)  6 Br 2.88-2.90
Pm (0.5000, 0.5000, 0.5000)  6 Br 2.88-2.90
Br (0.1231, 0.2562, 0.9242)  1 Li 2.60, 1 Pm 2.88
Br (0.1912, 0.5938, 0.3905)  1 Li 2.56
Br (0.2562, 0.1231, 0.4242)  1 Li 2.60, 1 Pm 2.88
Br (0.4062, 0.8088, 0.1095)  1 Li 2.56
Br (0.4204, 0.5796, 0.7500)  2 Pm 2.90
Br (0.5796, 0.4204, 0.2500)  2 Pm 2.90
Br (0.5938, 0.1912, 0.8905)  1 Li 2.56
Br (0.7438, 0.8769, 0.5758)  1 Li 2.60, 1 Pm 2.88
Br (0.8088, 0.4062, 0.6095)  1 Li 2.56
Br (0.8769, 0.7438, 0.0758)  1 Li 2.60, 1 Pm 2.88

Output
Uncorrected formation energy ... -1.7689 eV per atom
Total magnetic moment ... 0.00 Bohr magnetons per cell
Symmetry ... C2/c (15)
Volume ... 616 Å³/cell


[3]
The following is a DFT calculation (PBE-GGA) of a relaxed structure of Pm2AgAuO5.

Lattice parameters (Å, degrees): 6.7955 6.7955 5.8720 90.00 90.00 90.00
Last column: nearest neighbours and their distance in Å.
Fractional coordinates of all 18 atoms:
Pm (0.1768, 0.3232, 0.0000)  8 O 2.30-2.56
Pm (0.3232, 0.8232, 0.0000)  8 O 2.30-2.56
Pm (0.6768, 0.1768, 0.0000)  8 O 2.30-2.56
Pm (0.8232, 0.6768, 0.0000)  8 O 2.30-2.56
Ag (0.0000, 0.0000, 0.5000)  10 O 2.94-3.05
Ag (0.5000, 0.5000, 0.5000)  10 O 2.94-3.05
Au (0.0000, 0.5000, 0.5000)  4 O 2.00
Au (0.5000, 0.0000, 0.5000)  4 O 2.00
O (0.0000, 0.0000, 0.0000)  4 Pm 2.50
O (0.1348, 0.6348, 0.2405)  1 Au 2.00
O (0.1348, 0.6348, 0.7595)  1 Au 2.00
O (0.3652, 0.1348, 0.2405)  1 Au 2.00
O (0.3652, 0.1348, 0.7595)  1 Au 2.00
O (0.5000, 0.5000, 0.0000)  4 Pm 2.50
O (0.6348, 0.8652, 0.2405)  1 Au 2.00
O (0.6348, 0.8652, 0.7595)  1 Au 2.00
O (0.8652, 0.3652, 0.2405)  1 Au 2.00
O (0.8652, 0.3652, 0.7595)  1 Au 2.00

Output
Uncorrected formation energy ... -1.8393 eV per atom
Total magnetic moment ... 0.00 Bohr magnetons per cell
Symmetry ... P4/mbm (127)
Volume ... 271 Å³/cell


[4]
The following is a DFT calculation (PBE-GGA) of a relaxed structure of PuNi2H8Rh.

Lattice parameters (Å, degrees): 5.9132 5.9132 5.9132 45.17 45.17 45.17
Last column: nearest neighbours and their distance in Å.
Fractional coordinates of all 12 atoms:
Pu (0.0000, 0.0000, 0.0000)  6 H 2.30
Ni (0.2126, 0.2126, 0.2126)  4 H 1.58-1.64
Ni (0.7874, 0.7874, 0.7874)  4 H 1.58-1.64
H (0.1329, 0.4113, 0.8020)  1 Ni 1.64, 1 Rh 1.73
H (0.1980, 0.8671, 0.5887)  1 Ni 1.64, 1 Rh 1.73
H (0.3120, 0.3120, 0.3120)  1 Ni 1.58
H (0.4113, 0.8020, 0.1329)  1 Ni 1.64, 1 Rh 1.73
H (0.5887, 0.1980, 0.8671)  1 Ni 1.64, 1 Rh 1.73
H (0.6880, 0.6880, 0.6880)  1 Ni 1.58
H (0.8020, 0.1329, 0.4113)  1 Ni 1.64, 1 Rh 1.73
H (0.8671, 0.5887, 0.1980)  1 Ni 1.64, 1 Rh 1.73
Rh (0.5000, 0.5000, 0.5000)  6 H 1.73

Output
Final energy ... -5.1305 eV per atom
Total magnetic moment ... 5.27 Bohr magnetons per cell
Symmetry ... R-3 (148)
Volume ... 95 Å³/cell


[5]
The following is a DFT calculation (PBE-GGA) of a relaxed structure of Ba2NiGe3Pt4.

Lattice parameters (Å, degrees): 4.5023 4.5023 10.3374 90.00 90.00 90.00
Last column: nearest neighbours and their distance in Å.
Fractional coordinates of all 10 atoms:
Ba (0.0000, 0.5000, 0.2423)  2 Ni 3.37, 6 Ge 3.37-3.48, 8 Pt 3.42-3.49
Ba (0.5000, 0.0000, 0.7577)  6 Ge 3.37-3.48, 2 Ni 3.37, 8 Pt 3.42-3.49
Ni (0.5000, 0.5000, 0.0000)  4 Pt 2.58
Ge (0.0000, 0.0000, 0.0000)  4 Pt 2.58
Ge (0.0000, 0.5000, 0.6227)  5 Pt 2.58-2.63
Ge (0.5000, 0.0000, 0.3773)  5 Pt 2.58-2.63
Pt (0.0000, 0.0000, 0.5000)  4 Ge 2.58
Pt (0.0000, 0.5000, 0.8774)  2 Ni 2.58, 3 Ge 2.58-2.63
Pt (0.5000, 0.0000, 0.1226)  2 Ni 2.58, 3 Ge 2.58-2.63
Pt (0.5000, 0.5000, 0.5000)  4 Ge 2.58

Output
Total magnetic moment ... 0.46 Bohr magnetons per cell
Symmetry ... P-4m2 (115)
Volume ... 210 Å³/cell
Energy of formation from the pure elements ... -630 meV per atom


[6]
The following is a DFT calculation (PBE-GGA) of a relaxed structure of AlSe2N2.

Lattice parameters (Å, degrees): 4.1832 4.1832 3.9639 90.00 90.00 90.00
Last column: nearest neighbours and their distance in Å.
Fractional coordinates of all 5 atoms:
Al (0.0000, 0.0000, 0.0000)  8 Se 2.88, 4 N 2.96
Se (0.0000, 0.5000, 0.5000)  2 N 2.09
Se (0.5000, 0.0000, 0.5000)  2 N 2.09
N (0.5000, 0.5000, 0.0000)  2 N 1.98
N (0.5000, 0.5000, 0.5000)  2 N 1.98, 4 Se 2.09

Output
Uncorrected formation energy ... 1.4642 eV per atom
Total magnetic moment ... 0.01 Bohr magnetons per cell
Symmetry ... P4/mmm (123)
Volume ... 69 Å³/cell
Polymorph energy (0 for the lowest one) ... 673 meV/atom


> Number 2 is which compound?

RbLiPmBr5


> Look up the total magnetic moment of the first one.

0.00 Bohr magnetons per cell


> Which value of total magnetic moment does entry 6 give?

0.01 Bohr magnetons per cell


Copy entry 5 word for word.
The following is a DFT calculation (PBE-GGA) of a relaxed structure of Ba2NiGe3Pt4.

Lattice parameters (Å, degrees): 4.5023 4.5023 10.3374 90.00 90.00 90.00
Last column: nearest neighbours and their distance in Å.
Fractional coordinates of all 10 atoms:
Ba (0.0000, 0.5000, 0.2423)  2 Ni 3.37, 6 Ge 3.37-3.48, 8 Pt 3.42-3.49
Ba (0.5000, 0.0000, 0.7577)  6 Ge 3.37-3.48, 2 Ni 3.37, 8 Pt 3.42-3.49
Ni (0.5000, 0.5000, 0.0000)  4 Pt 2.58
Ge (0.0000, 0.0000, 0.0000)  4 Pt 2.58
Ge (0.0000, 0.5000, 0.6227)  5 Pt 2.58-2.63
Ge (0.5000, 0.0000, 0.3773)  5 Pt 2.58-2.63
Pt (0.0000, 0.0000, 0.5000)  4 Ge 2.58
Pt (0.0000, 0.5000, 0.8774)  2 Ni 2.58, 3 Ge 2.58-2.63
Pt (0.5000, 0.0000, 0.1226)  2 Ni 2.58, 3 Ge 2.58-2.63
Pt (0.5000, 0.5000, 0.5000)  4 Ge 2.58

Output
Total magnetic moment ... 0.46 Bohr magnetons per cell
Symmetry ... P-4m2 (115)
Volume ... 210 Å³/cell
Energy of formation from the pure elements ... -630 meV per atom